## Sc2AlVCr (PBE)

Data for a relaxed Sc2AlVCr crystal.

Unit cell a=4.971 b=4.971 c=4.533 alpha=90.00 beta=90.00 gamma=90.00
Space group P4/mmm (No. 123)
Inequivalent atoms, fractional coordinates:
Sc1 0.000 0.500 0.000 x2
Al1 0.000 0.000 0.000 x1
V1 0.000 0.000 0.500 x1
Cr1 0.500 0.500 0.500 x1

Results
- E_form: 1339 meV/atom
- Calculated volume: 22.4 Å³/atom
- Size of the total moment: 0.18 μB/atom

## Hf2SbRh (PBE)

Data for a relaxed Hf2SbRh crystal.

Unit cell a=3.1145 b=3.1145 c=30.1312 alpha=90.00 beta=90.00 gamma=120.00
Space group R-3m (No. 166, hexagonal axes)
Inequivalent atoms, fractional coordinates:
Hf1 0.0000 0.0000 0.0812 x6
Sb1 0.0000 0.0000 0.5000 x3
Rh1 0.0000 0.0000 0.0000 x3

Results
- Calculated volume: 21.1 Å³/atom
- Energy relative to the elements, uncorrected: 89.4 meV/atom
- Size of the total moment: 0.00 μB/atom

## BeHg2Mo (PBE)

Data for a relaxed BeHg2Mo crystal.

Unit cell a=3.918 b=3.918 c=19.639 alpha=90.00 beta=90.00 gamma=90.00
Space group I-42d (No. 122)
Inequivalent atoms, fractional coordinates:
Be1 0.000 0.000 0.000 x4
Hg1 0.244 0.250 0.125 x8
Mo1 0.000 0.000 0.500 x4

Results
- E_form: 931 meV/atom
- Calculated volume: 18.8 Å³/atom
- Size of the total moment: 0.18 μB/atom

## Hf2IrSe (PBE)

Data for a relaxed Hf2IrSe crystal.

Unit cell a=3.1601 b=3.1601 c=27.5146 alpha=90.00 beta=90.00 gamma=120.00
Space group R-3m (No. 166, hexagonal axes)
Inequivalent atoms, fractional coordinates:
Hf1 0.0000 0.0000 0.0916 x6
Ir1 0.0000 0.0000 0.0000 x3
Se1 0.0000 0.0000 0.5000 x3

Results
- Calculated volume: 19.8 Å³/atom
- Energy relative to the elements, uncorrected: -48.8 meV/atom
- Size of the total moment: 0.00 μB/atom

## SmYAl (PBE)

Data for a relaxed SmYAl crystal.

Unit cell a=3.479 b=3.479 c=13.667 alpha=90.00 beta=90.00 gamma=90.00
Space group I4mm (No. 107)
Inequivalent atoms, fractional coordinates:
Sm1 0.000 0.000 0.000 x2
Y1 0.000 0.000 0.294 x2
Al1 0.000 0.000 0.650 x2

Results
- E_form: -244 meV/atom
- Calculated volume: 27.6 Å³/atom
- Size of the total moment: 0.00 μB/atom

## Bi2H5Pt4 (PBE)

Data for a relaxed Bi2H5Pt4 crystal.

Unit cell a=4.384 b=5.119 c=7.070 alpha=70.87 beta=79.20 gamma=82.06
Space group P-1 (No. 2)
Inequivalent atoms, fractional coordinates:
Bi1 0.018 0.179 0.187 x2
H1 0.112 0.644 0.343 x2
H2 0.379 0.250 0.728 x2
H3 0.500 0.000 0.500 x1
Pt1 0.258 0.302 0.493 x2
Pt2 0.418 0.708 0.102 x2

Results
- Uncorrected energy: -4.430 eV per atom
- Calculated volume: 13.3 Å³/atom
- Size of the total moment: 0.00 μB/atom

## Ce2ZnIn (PBE)

Data for a relaxed Ce2ZnIn crystal.

Unit cell a=4.495 b=4.495 c=4.748 alpha=90.00 beta=90.00 gamma=90.00
Space group P4/mmm (No. 123)
Inequivalent atoms, fractional coordinates:
Ce1 0.000 0.500 0.000 x2
Zn1 0.000 0.000 0.500 x1
In1 0.500 0.500 0.500 x1

Results
- E_form: -263 meV/atom
- Calculated volume: 24.0 Å³/atom
- Size of the total moment: 0.13 μB/atom

## Y2Ni4As3Rh (PBE)

Data for a relaxed Y2Ni4As3Rh crystal.

Unit cell a=3.986 b=3.986 c=10.086 alpha=90.00 beta=90.00 gamma=90.00
Space group P-4m2 (No. 115)
Inequivalent atoms, fractional coordinates:
Y1 0.000 0.500 0.248 x2
Ni1 0.000 0.000 0.000 x1
Ni2 0.000 0.500 0.644 x2
Ni3 0.500 0.500 0.000 x1
As1 0.000 0.500 0.870 x2
As2 0.500 0.500 0.500 x1
Rh1 0.000 0.000 0.500 x1

Results
- E_form: -712 meV/atom
- Calculated volume: 16.0 Å³/atom
- Size of the total moment: 0.00 μB/atom

## BeAlSe (PBE)

Data for a relaxed BeAlSe crystal.

Unit cell a=3.562 b=5.879 c=6.286 alpha=62.16 beta=89.98 gamma=72.45
Space group P1 (No. 1)
Inequivalent atoms, fractional coordinates:
Be1 0.000 0.000 0.000 x1
Be2 0.231 0.541 0.126 x1
Al1 0.062 0.871 0.669 x1
Al2 0.583 0.828 0.372 x1
Se1 0.370 0.263 0.936 x1
Se2 0.803 0.396 0.364 x1

Results
- Calculated volume: 18.2 Å³/atom
- Energy relative to the elements, uncorrected: -170.5 meV/atom
- Size of the total moment: 0.00 μB/atom

## Be3InW (PBE)

Data for a relaxed Be3InW crystal.

Unit cell a=4.399 b=4.399 c=4.399 alpha=90.00 beta=90.00 gamma=90.00
Space group Pm-3m (No. 221)
Inequivalent atoms, fractional coordinates:
Be1 0.000 0.000 0.500 x3
In1 0.500 0.500 0.500 x1
W1 0.000 0.000 0.000 x1

Results
- E_form: 1268 meV/atom
- Calculated volume: 17.0 Å³/atom
- Size of the total moment: 0.00 μB/atom

## HoErFeCu (PBE)

Data for a relaxed HoErFeCu crystal.

Unit cell a=6.727 b=6.727 c=6.727 alpha=90.00 beta=90.00 gamma=90.00
Space group F-43m (No. 216)
Inequivalent atoms, fractional coordinates:
Ho1 0.000 0.000 0.000 x4
Er1 0.000 0.000 0.500 x4
Fe1 0.250 0.250 0.250 x4
Cu1 0.250 0.250 0.750 x4

Results
- E_form: -47 meV/atom
- Calculated volume: 19.0 Å³/atom
- Size of the total moment: 0.00 μB/atom

## HgS5Br (PBE)

Data for a relaxed HgS5Br crystal.

Unit cell a=4.367 b=5.777 c=9.318 alpha=75.03 beta=88.53 gamma=72.80
Space group P1 (No. 1)
Inequivalent atoms, fractional coordinates:
Hg1 0.000 0.000 0.000 x1
S1 0.191 0.367 0.503 x1
S2 0.216 0.538 0.995 x1
S3 0.608 0.136 0.625 x1
S4 0.891 0.462 0.882 x1
S5 0.959 0.119 0.472 x1
Br1 0.548 0.875 0.195 x1

Results
- Calculated volume: 30.9 Å³/atom
- Energy relative to the elements, uncorrected: -0.1 meV/atom
- Size of the total moment: 0.00 μB/atom

## Ac12PuSn7 (PBE)

Data for a relaxed Ac12PuSn7 crystal.

Unit cell a=16.4825 b=16.4825 c=11.2259 alpha=90.00 beta=90.00 gamma=120.00
Space group R-3 (No. 148, hexagonal axes)
Inequivalent atoms, fractional coordinates:
Ac1 0.0218 0.4326 0.1675 x18
Ac2 0.0524 0.8627 0.8390 x18
Pu1 0.0000 0.0000 0.5000 x3
Sn1 0.0000 0.0000 0.0000 x3
Sn2 0.0488 0.8767 0.3365 x18

Results
- E_form: -216 meV/atom
- Calculated volume: 44.0 Å³/atom
- Size of the total moment: 0.36 μB/atom

## BaWN2 (PBE)

Data for a relaxed BaWN2 crystal.

Unit cell a=6.050 b=6.050 c=6.050 alpha=90.00 beta=90.00 gamma=90.00
Space group Fm-3m (No. 225)
Inequivalent atoms, fractional coordinates:
Ba1 0.000 0.000 0.000 x4
W1 0.000 0.000 0.500 x4
N1 0.250 0.250 0.250 x8

Results
- Calculated volume: 13.8 Å³/atom
- Energy relative to the elements, uncorrected: 1308.4 meV/atom
- Size of the total moment: 0.00 μB/atom

## CeNdCo2 (PBE)

Data for a relaxed CeNdCo2 crystal.

Unit cell a=6.804 b=6.804 c=6.804 alpha=90.00 beta=90.00 gamma=90.00
Space group Fm-3m (No. 225)
Inequivalent atoms, fractional coordinates:
Ce1 0.000 0.000 0.000 x4
Nd1 0.000 0.000 0.500 x4
Co1 0.250 0.250 0.250 x8

Results
- E_form: 2 meV/atom
- Calculated volume: 19.7 Å³/atom
- Size of the total moment: 0.04 μB/atom

## KNaHg2As (PBE)

Data for a relaxed KNaHg2As crystal.

Unit cell a=4.671 b=4.934 c=12.506 alpha=90.00 beta=90.00 gamma=90.00
Space group Imm2 (No. 44)
Inequivalent atoms, fractional coordinates:
K1 0.000 0.000 0.000 x2
Na1 0.000 0.500 0.724 x2
Hg1 0.000 0.000 0.387 x2
Hg2 0.000 0.500 0.236 x2
As1 0.000 0.000 0.604 x2

Results
- E_form: -296 meV/atom
- Calculated volume: 28.8 Å³/atom
- Size of the total moment: 0.00 μB/atom

## La6Te3P2Pb (PBE)

Data for a relaxed La6Te3P2Pb crystal.

Unit cell a=19.723 b=4.463 c=9.099 alpha=90.00 beta=104.37 gamma=90.00
Space group C2/m (No. 12)
Inequivalent atoms, fractional coordinates:
La1 0.011 0.000 0.254 x4
La2 0.168 0.500 0.109 x4
La3 0.175 0.500 0.566 x4
Te1 0.000 0.500 0.500 x2
Te2 0.163 0.000 0.832 x4
P1 0.170 0.000 0.337 x4
Pb1 0.000 0.500 0.000 x2

Results
- Calculated volume: 32.3 Å³/atom
- Energy relative to the elements, uncorrected: -1460.4 meV/atom
- Size of the total moment: 0.00 μB/atom

## PuZr5N4 (PBE)

Data for a relaxed PuZr5N4 crystal.

Unit cell a=14.298 b=3.329 c=6.646 alpha=90.00 beta=104.02 gamma=90.00
Space group C2/m (No. 12)
Inequivalent atoms, fractional coordinates:
Pu1 0.000 0.000 0.000 x2
Zr1 0.000 0.000 0.500 x2
Zr2 0.166 0.500 0.849 x4
Zr3 0.168 0.500 0.322 x4
N1 0.002 0.500 0.261 x4
N2 0.171 0.000 0.087 x4

Results
- Calculated volume: 15.3 Å³/atom
- Energy relative to the elements, uncorrected: -1300.9 meV/atom
- Size of the total moment: 0.38 μB/atom

## Mg5HIr4 (PBE)

Data for a relaxed Mg5HIr4 crystal.

Unit cell a=7.785 b=4.469 c=8.418 alpha=90.00 beta=90.95 gamma=90.00
Space group Cm (No. 8)
Inequivalent atoms, fractional coordinates:
Mg1 0.000 0.000 0.000 x2
Mg2 0.003 0.000 0.639 x2
Mg3 0.161 0.500 0.216 x2
Mg4 0.171 0.500 0.847 x2
Mg5 0.333 0.000 0.434 x2
H1 0.181 0.000 0.220 x2
Ir1 0.167 0.500 0.531 x2
Ir2 0.338 0.000 0.071 x2
Ir3 0.339 0.000 0.770 x2
Ir4 0.490 0.500 0.325 x2

Results
- Uncorrected energy: -4.977 eV per atom
- Calculated volume: 14.6 Å³/atom
- Size of the total moment: 0.00 μB/atom

## CeTm2Fe (PBE)

Data for a relaxed CeTm2Fe crystal.

Unit cell a=6.772 b=9.345 c=6.263 alpha=90.00 beta=90.00 gamma=90.00
Space group Pnma (No. 62)
Inequivalent atoms, fractional coordinates:
Ce1 0.069 0.250 0.132 x4
Tm1 0.168 0.065 0.671 x8
Fe1 0.144 0.750 0.487 x4

Results
- E_form: -151 meV/atom
- Calculated volume: 24.8 Å³/atom
- Size of the total moment: 0.00 μB/atom